# SrWSe2 GGA-PBE optimized geometry
# energy above the lowest structure with this stoichiometry = 385 meV per atom
# total energy = -5.538 eV/atom
# crystal system = trigonal
# total moment = 0.0 μB/f.u.
# E_form (uncorrected) = -137 meV per atom
data_SrWSe2
_symmetry_space_group_name_H-M 'R -3 m'
_symmetry_Int_Tables_number 166
_symmetry_space_group_name_Hall '-R 3 2"'
_cell_length_a 3.6147
_cell_length_b 3.6147
_cell_length_c 28.1522
_cell_angle_alpha 90.00
_cell_angle_beta 90.00
_cell_angle_gamma 120.00
loop_
_atom_site_label
_atom_site_type_symbol
_atom_site_fract_x
_atom_site_fract_y
_atom_site_fract_z
_atom_site_occupancy
Sr1 Sr 0.0000 0.0000 0.0000 1
W1 W 0.0000 0.0000 0.5000 1
Se1 Se 0.0000 0.0000 0.1113 1